! DyTm2Ag | Alexandria via LeMat-Bulk | PBE | optimized geometry; values from VASP
&SYSTEM
  ibrav = 0, nat = 4, ntyp = 3
/
ATOMIC_SPECIES
Tm 168.93 Tm.upf
Ag 107.87 Ag.upf
Dy 162.50 Dy.upf
ATOMIC_POSITIONS crystal
Tm 0.2585 0.2585 0.2244
Tm 0.7415 0.7415 0.7756
Ag 0.0000 0.0000 0.0000
Dy 0.5000 0.5000 0.5000
CELL_PARAMETERS angstrom
3.5095 0.0000 0.0000
1.7547 3.0393 0.0000
1.7547 1.0131 10.3694
! Symmetry: R-3m
! Formation energy from the elements in eV/atom: -0.02
! E in eV per atom: -4.120

! DyTm2Ag2 | Alexandria via LeMat-Bulk | PBE | optimized geometry; values from VASP
&SYSTEM
  ibrav = 0, nat = 10, ntyp = 3
/
ATOMIC_SPECIES
Dy 162.50 Dy.upf
Tm 168.93 Tm.upf
Ag 107.87 Ag.upf
ATOMIC_POSITIONS crystal
Dy 0.8539 0.7500 0.7087
Dy 0.1461 0.2500 0.2913
Tm 0.0474 0.7500 0.0950
Tm 0.9526 0.2500 0.9050
Tm 0.2347 0.7500 0.4689
Tm 0.7653 0.2500 0.5311
Ag 0.6424 0.7500 0.2842
Ag 0.3576 0.2500 0.7158
Ag 0.4536 0.7500 0.9072
Ag 0.5464 0.2500 0.0928
CELL_PARAMETERS angstrom
-2.0541 -2.1776 1.9824
3.5996 0.0357 3.7689
-4.8537 11.6525 4.5253
! Symmetry: P2_1/m
! Formation energy from the elements in eV/atom: -0.25
! E in eV per atom: -4.099

! DyTmAg4 | Alexandria via LeMat-Bulk | PBE | optimized geometry; values from VASP
&SYSTEM
  ibrav = 0, nat = 6, ntyp = 3
/
ATOMIC_SPECIES
Dy 162.50 Dy.upf
Tm 168.93 Tm.upf
Ag 107.87 Ag.upf
ATOMIC_POSITIONS crystal
Dy 0.9978 0.4972 0.0019
Tm 0.4978 0.9973 0.5019
Ag 0.1606 0.9913 0.8331
Ag 0.8350 0.0032 0.1706
Ag 0.6663 0.4964 0.3394
Ag 0.3296 0.4983 0.6644
CELL_PARAMETERS angstrom
3.5767 -0.0016 -0.9096
-2.1492 4.7599 -0.9709
-0.0037 0.0005 7.5089
! Symmetry: P-1
! Formation energy from the elements in eV/atom: -0.32
! E in eV per atom: -3.735

! Dy5TmAg6 | Alexandria via LeMat-Bulk | PBE | optimized geometry; values from VASP
&SYSTEM
  ibrav = 0, nat = 12, ntyp = 3
/
ATOMIC_SPECIES
Tm 168.93 Tm.upf
Ag 107.87 Ag.upf
Dy 162.50 Dy.upf
ATOMIC_POSITIONS crystal
Tm 0.0000 0.0000 0.0000
Ag 0.8346 0.7519 0.3310
Ag 0.8344 0.2481 0.3310
Ag 0.5001 0.2471 0.0000
Ag 0.4999 0.7529 0.0000
Ag 0.1656 0.7519 0.6690
Ag 0.1654 0.2481 0.6690
Dy 0.6672 0.5000 0.6656
Dy 0.3338 0.0000 0.3325
Dy 0.0000 0.5000 0.0000
Dy 0.6662 0.0000 0.6675
Dy 0.3328 0.5000 0.3344
CELL_PARAMETERS angstrom
4.8887 -0.0291 1.6310
0.0388 7.1951 0.0129
0.0027 -0.0146 8.1502
! Symmetry: Cmmm
! Formation energy from the elements in eV/atom: -0.33
! E in eV per atom: -4.042

! Dy4TmAg | Alexandria via LeMat-Bulk | PBE | optimized geometry; values from VASP
&SYSTEM
  ibrav = 0, nat = 12, ntyp = 3
/
ATOMIC_SPECIES
Dy 162.50 Dy.upf
Tm 168.93 Tm.upf
Ag 107.87 Ag.upf
ATOMIC_POSITIONS crystal
Dy 0.9347 0.2115 0.8694
Dy 0.0653 0.7115 0.1306
Dy 0.4646 0.8801 0.9291
Dy 0.5354 0.3801 0.0709
Dy 0.6775 0.5713 0.3550
Dy 0.3225 0.0713 0.6450
Dy 0.7444 0.0869 0.4887
Dy 0.2556 0.5869 0.5113
Tm 0.8652 0.7135 0.7303
Tm 0.1348 0.2135 0.2697
Ag 0.6037 0.9702 0.2075
Ag 0.3963 0.4702 0.7925
CELL_PARAMETERS angstrom
5.4059 0.0000 0.0000
0.0000 6.3844 0.0000
-2.7030 0.0000 10.3343
! Symmetry: Cmc2_1
! Formation energy from the elements in eV/atom: 0.04
! E in eV per atom: -4.244

! Dy6Tm2Ag | Alexandria via LeMat-Bulk | PBE | optimized geometry; values from VASP
&SYSTEM
  ibrav = 0, nat = 9, ntyp = 3
/
ATOMIC_SPECIES
Dy 162.50 Dy.upf
Tm 168.93 Tm.upf
Ag 107.87 Ag.upf
ATOMIC_POSITIONS crystal
Dy 0.9997 0.3385 0.3231
Dy 0.0003 0.0154 0.6769
Dy 0.0003 0.6615 0.6769
Dy 0.5000 0.2934 0.0000
Dy 0.9997 0.9846 0.3231
Dy 0.5000 0.7066 0.0000
Tm 0.4997 0.6833 0.3666
Tm 0.5003 0.3167 0.6334
Ag 0.0000 0.0000 0.0000
CELL_PARAMETERS angstrom
3.5260 0.0000 0.2695
0.0000 9.1682 0.0000
-0.6538 -4.5841 8.5166
! Symmetry: Cmmm
! Formation energy from the elements in eV/atom: 0.10
! E in eV per atom: -4.283

! DyTm2Ag2 | Alexandria via LeMat-Bulk | PBE | optimized geometry; values from VASP
&SYSTEM
  ibrav = 0, nat = 10, ntyp = 3
/
ATOMIC_SPECIES
Dy 162.50 Dy.upf
Tm 168.93 Tm.upf
Ag 107.87 Ag.upf
ATOMIC_POSITIONS crystal
Dy 0.2500 0.6929 0.2414
Dy 0.7500 0.3071 0.7586
Tm 0.2500 0.8453 0.8893
Tm 0.7500 0.1547 0.1107
Tm 0.2500 0.2486 0.5059
Tm 0.7500 0.7514 0.4941
Ag 0.2500 0.7677 0.6337
Ag 0.7500 0.2323 0.3663
Ag 0.2500 0.3549 0.9912
Ag 0.7500 0.6451 0.0088
CELL_PARAMETERS angstrom
4.8327 0.0000 0.0000
0.0000 5.2216 0.1231
0.0000 -1.0237 10.7298
! Symmetry: P2_1/m
! Formation energy from the elements in eV/atom: -0.10
! E in eV per atom: -3.946

! Dy3TmAg4 | Alexandria via LeMat-Bulk | PBE | optimized geometry; values from VASP
&SYSTEM
  ibrav = 0, nat = 8, ntyp = 3
/
ATOMIC_SPECIES
Tm 168.93 Tm.upf
Ag 107.87 Ag.upf
Dy 162.50 Dy.upf
ATOMIC_POSITIONS crystal
Tm 0.5000 0.5000 0.0000
Ag 0.0000 0.0000 0.8790
Ag 0.0000 0.0000 0.1210
Ag 0.0000 0.0000 0.3745
Ag 0.0000 0.0000 0.6255
Dy 0.5000 0.5000 0.2481
Dy 0.5000 0.5000 0.5000
Dy 0.5000 0.5000 0.7519
CELL_PARAMETERS angstrom
3.6222 0.0000 0.0000
0.0000 3.6222 0.0000
0.0000 0.0000 14.5083
! Symmetry: P4/mmm
! Formation energy from the elements in eV/atom: -0.32
! E in eV per atom: -4.035

! DyTm2Ag | Alexandria via LeMat-Bulk | PBE | optimized geometry; values from VASP
&SYSTEM
  ibrav = 0, nat = 8, ntyp = 3
/
ATOMIC_SPECIES
Dy 162.50 Dy.upf
Tm 168.93 Tm.upf
Ag 107.87 Ag.upf
ATOMIC_POSITIONS crystal
Dy 0.9481 0.8961 0.2500
Dy 0.0519 0.1039 0.7500
Tm 0.3559 0.7119 0.5460
Tm 0.6441 0.2881 0.4540
Tm 0.3559 0.7119 0.9540
Tm 0.6441 0.2881 0.0460
Ag 0.7781 0.5566 0.7500
Ag 0.2219 0.4434 0.2500
CELL_PARAMETERS angstrom
-1.2072 -4.1838 -2.0280
6.0696 0.9618 0.0805
0.4904 -3.7111 7.3643
! Symmetry: Cmcm
! Formation energy from the elements in eV/atom: -0.08
! E in eV per atom: -4.179

! Dy4Tm3Ag | Alexandria via LeMat-Bulk | PBE | optimized geometry; values from VASP
&SYSTEM
  ibrav = 0, nat = 8, ntyp = 3
/
ATOMIC_SPECIES
Tm 168.93 Tm.upf
Ag 107.87 Ag.upf
Dy 162.50 Dy.upf
ATOMIC_POSITIONS crystal
Tm 0.5000 0.5000 0.2369
Tm 0.5000 0.5000 0.5000
Tm 0.5000 0.5000 0.7631
Ag 0.5000 0.5000 0.0000
Dy 0.0000 0.0000 0.8972
Dy 0.0000 0.0000 0.1028
Dy 0.0000 0.0000 0.3679
Dy 0.0000 0.0000 0.6321
CELL_PARAMETERS angstrom
-2.1676 2.0161 -1.9057
-2.0356 0.4872 2.8308
10.0797 15.2135 4.6298
! Symmetry: P4/mmm
! Formation energy from the elements in eV/atom: -0.05
! E in eV per atom: -4.386

! Dy3TmAg3 | Alexandria via LeMat-Bulk | PBE | optimized geometry; values from VASP
&SYSTEM
  ibrav = 0, nat = 14, ntyp = 3
/
ATOMIC_SPECIES
Dy 162.50 Dy.upf
Tm 168.93 Tm.upf
Ag 107.87 Ag.upf
ATOMIC_POSITIONS crystal
Dy 0.6281 0.6281 0.3486
Dy 0.1813 0.8187 0.5000
Dy 0.8187 0.1813 0.5000
Dy 0.2636 0.7364 0.0000
Dy 0.7364 0.2636 0.0000
Dy 0.3719 0.3719 0.6514
Tm 0.7434 0.7434 0.8556
Tm 0.2566 0.2566 0.1444
Ag 0.9281 0.9281 0.1838
Ag 0.9970 0.4852 0.7290
Ag 0.4852 0.9970 0.7290
Ag 0.0030 0.5148 0.2710
Ag 0.5148 0.0030 0.2710
Ag 0.0719 0.0719 0.8162
CELL_PARAMETERS angstrom
7.1082 1.3695 0.3746
-1.9407 6.9739 0.3746
-0.3581 -0.5781 6.9753
! Symmetry: C2/m
! Formation energy from the elements in eV/atom: -0.15
! E in eV per atom: -3.980

! DyTmAg | Alexandria via LeMat-Bulk | PBE | optimized geometry; values from VASP
&SYSTEM
  ibrav = 0, nat = 3, ntyp = 3
/
ATOMIC_SPECIES
Tm 168.93 Tm.upf
Ag 107.87 Ag.upf
Dy 162.50 Dy.upf
ATOMIC_POSITIONS crystal
Tm 0.0720 0.0000 0.0000
Ag 0.3180 0.3333 0.6667
Dy 0.6099 0.6667 0.3333
CELL_PARAMETERS angstrom
-3.3063 0.1711 1.4596
-1.3190 -4.1495 -2.5013
2.0067 -0.3655 4.5884
! Symmetry: P3m1
! Formation energy from the elements in eV/atom: -0.04
! E in eV per atom: -4.017

! DyTmAg | Alexandria via LeMat-Bulk | PBE | optimized geometry; values from VASP
&SYSTEM
  ibrav = 0, nat = 6, ntyp = 3
/
ATOMIC_SPECIES
Ag 107.87 Ag.upf
Tm 168.93 Tm.upf
Dy 162.50 Dy.upf
ATOMIC_POSITIONS crystal
Ag 0.2511 0.2511 0.2467
Ag 0.7489 0.7489 0.7533
Tm 0.3745 0.3745 0.8766
Tm 0.6255 0.6255 0.1234
Dy 0.8757 0.8757 0.3730
Dy 0.1243 0.1243 0.6270
CELL_PARAMETERS angstrom
4.9921 0.0000 0.0000
2.4960 4.3233 0.0000
2.4960 1.4411 8.1279
! Symmetry: R-3m
! Formation energy from the elements in eV/atom: 0.03
! E in eV per atom: -3.941

! DyTmAg4 | Alexandria via LeMat-Bulk | PBE | optimized geometry; values from VASP
&SYSTEM
  ibrav = 0, nat = 6, ntyp = 3
/
ATOMIC_SPECIES
Dy 162.50 Dy.upf
Tm 168.93 Tm.upf
Ag 107.87 Ag.upf
ATOMIC_POSITIONS crystal
Dy 0.5014 0.4973 0.9980
Tm 0.0012 0.9973 0.4982
Ag 0.5011 0.8293 0.3298
Ag 0.5013 0.1653 0.6661
Ag 0.0014 0.3273 0.8282
Ag 0.0014 0.6672 0.1684
CELL_PARAMETERS angstrom
5.2530 0.1732 -0.2636
-0.0220 5.1584 1.2650
0.1176 1.5361 5.0827
! Symmetry: C2/m
! Formation energy from the elements in eV/atom: -0.32
! E in eV per atom: -3.732

! DyTmAg | Alexandria via LeMat-Bulk | PBE | optimized geometry; values from VASP
&SYSTEM
  ibrav = 0, nat = 6, ntyp = 3
/
ATOMIC_SPECIES
Dy 162.50 Dy.upf
Tm 168.93 Tm.upf
Ag 107.87 Ag.upf
ATOMIC_POSITIONS crystal
Dy 0.7733 0.8760 0.6709
Dy 0.2267 0.1240 0.3291
Tm 0.9089 0.5578 0.2594
Tm 0.0911 0.4422 0.7406
Ag 0.4465 0.8162 0.0764
Ag 0.5535 0.1838 0.9236
CELL_PARAMETERS angstrom
-0.9676 -1.8632 -3.0719
3.1834 -4.8151 4.1686
-5.6046 0.6694 3.6124
! Symmetry: C2/m
! Formation energy from the elements in eV/atom: -0.18
! E in eV per atom: -4.152

! Dy4TmAg | Alexandria via LeMat-Bulk | PBE | optimized geometry; values from VASP
&SYSTEM
  ibrav = 0, nat = 6, ntyp = 3
/
ATOMIC_SPECIES
Dy 162.50 Dy.upf
Tm 168.93 Tm.upf
Ag 107.87 Ag.upf
ATOMIC_POSITIONS crystal
Dy 0.5000 0.5000 0.8221
Dy 0.5000 0.5000 0.1779
Dy 0.0000 0.0000 0.6390
Dy 0.0000 0.0000 0.3610
Tm 0.0000 0.0000 0.0000
Ag 0.5000 0.5000 0.5000
CELL_PARAMETERS angstrom
-3.4442 -0.3644 -0.6882
0.2915 -3.4971 0.3929
-2.8412 1.2851 13.5409
! Symmetry: P4/mmm
! Formation energy from the elements in eV/atom: -0.08
! E in eV per atom: -4.368

! Dy4Tm5Ag | Alexandria via LeMat-Bulk | PBE | optimized geometry; values from VASP
&SYSTEM
  ibrav = 0, nat = 10, ntyp = 3
/
ATOMIC_SPECIES
Dy 162.50 Dy.upf
Tm 168.93 Tm.upf
Ag 107.87 Ag.upf
ATOMIC_POSITIONS crystal
Dy 0.0000 0.0000 0.1860
Dy 0.0000 0.0000 0.3953
Dy 0.0000 0.0000 0.6047
Dy 0.0000 0.0000 0.8140
Tm 0.5000 0.5000 0.0794
Tm 0.5000 0.5000 0.2901
Tm 0.5000 0.5000 0.5000
Tm 0.5000 0.5000 0.7099
Tm 0.5000 0.5000 0.9206
Ag 0.0000 0.0000 0.0000
CELL_PARAMETERS angstrom
-2.6329 0.6364 -2.2315
-0.5329 -3.4506 -0.3553
-15.3014 0.4898 18.1939
! Symmetry: P4/mmm
! Formation energy from the elements in eV/atom: -0.04
! E in eV per atom: -4.403

! Dy4TmAg2 | Alexandria via LeMat-Bulk | PBE | optimized geometry; values from VASP
&SYSTEM
  ibrav = 0, nat = 7, ntyp = 3
/
ATOMIC_SPECIES
Dy 162.50 Dy.upf
Tm 168.93 Tm.upf
Ag 107.87 Ag.upf
ATOMIC_POSITIONS crystal
Dy 0.7303 0.7303 0.8091
Dy 0.8734 0.8734 0.3798
Dy 0.2697 0.2697 0.1909
Dy 0.1266 0.1266 0.6202
Tm 0.5000 0.5000 0.5000
Ag 0.6128 0.6128 0.1617
Ag 0.3872 0.3872 0.8383
CELL_PARAMETERS angstrom
5.4042 0.0000 0.0000
2.7021 4.6802 0.0000
2.7021 1.5601 8.2779
! Symmetry: R-3m
! Formation energy from the elements in eV/atom: 0.11
! E in eV per atom: -3.972

! Dy3TmAg | Alexandria via LeMat-Bulk | PBE | optimized geometry; values from VASP
&SYSTEM
  ibrav = 0, nat = 10, ntyp = 3
/
ATOMIC_SPECIES
Dy 162.50 Dy.upf
Tm 168.93 Tm.upf
Ag 107.87 Ag.upf
ATOMIC_POSITIONS crystal
Dy 0.7370 0.9129 0.1492
Dy 0.2363 0.4121 0.1492
Dy 0.7637 0.5879 0.8508
Dy 0.8202 0.4409 0.2612
Dy 0.2630 0.0871 0.8508
Dy 0.1798 0.5591 0.7388
Tm 0.6809 0.0602 0.7410
Tm 0.3191 0.9398 0.2590
Ag 0.7448 0.7549 0.4998
Ag 0.2552 0.2451 0.5002
CELL_PARAMETERS angstrom
6.5596 -0.3051 -1.0591
-2.0882 6.2259 1.0591
-3.2916 -2.1630 7.5759
! Symmetry: C2/m
! Formation energy from the elements in eV/atom: -0.01
! E in eV per atom: -4.234

! Dy5TmAg4 | Alexandria via LeMat-Bulk | PBE | optimized geometry; values from VASP
&SYSTEM
  ibrav = 0, nat = 10, ntyp = 3
/
ATOMIC_SPECIES
Dy 162.50 Dy.upf
Tm 168.93 Tm.upf
Ag 107.87 Ag.upf
ATOMIC_POSITIONS crystal
Dy 0.5000 0.5000 0.1237
Dy 0.5000 0.5000 0.3111
Dy 0.5000 0.5000 0.5000
Dy 0.5000 0.5000 0.6889
Dy 0.5000 0.5000 0.8763
Tm 0.0000 0.0000 0.0000
Ag 0.0000 0.0000 0.2175
Ag 0.0000 0.0000 0.4063
Ag 0.0000 0.0000 0.5937
Ag 0.0000 0.0000 0.7825
CELL_PARAMETERS angstrom
3.6066 0.0000 0.0000
0.0000 3.6066 0.0000
0.0000 0.0000 19.5678
! Symmetry: P4/mmm
! Formation energy from the elements in eV/atom: -0.25
! E in eV per atom: -4.135

! DyTmAg | Alexandria via LeMat-Bulk | PBE | optimized geometry; values from VASP
&SYSTEM
  ibrav = 0, nat = 12, ntyp = 3
/
ATOMIC_SPECIES
Dy 162.50 Dy.upf
Tm 168.93 Tm.upf
Ag 107.87 Ag.upf
ATOMIC_POSITIONS crystal
Dy 0.1626 0.0877 0.2503
Dy 0.1623 0.5874 0.2497
Dy 0.4126 0.8377 0.7503
Dy 0.9123 0.8374 0.7497
Tm 0.6626 0.0876 0.2502
Tm 0.4126 0.3376 0.7502
Tm 0.6623 0.5874 0.2498
Tm 0.9124 0.3374 0.7498
Ag 0.5397 0.9648 0.5000
Ag 0.7852 0.7103 0.0000
Ag 0.0352 0.4603 0.5000
Ag 0.2897 0.2148 0.0000
CELL_PARAMETERS angstrom
7.0625 0.1013 -0.0045
-0.1138 7.0623 0.0045
-3.4701 -3.5859 7.0372
! Symmetry: Fddd
! Formation energy from the elements in eV/atom: 0.04
! E in eV per atom: -3.937

! DyTm2Ag | Alexandria via LeMat-Bulk | PBE | optimized geometry; values from VASP
&SYSTEM
  ibrav = 0, nat = 4, ntyp = 3
/
ATOMIC_SPECIES
Tm 168.93 Tm.upf
Ag 107.87 Ag.upf
Dy 162.50 Dy.upf
ATOMIC_POSITIONS crystal
Tm 0.0000 0.0000 0.7858
Tm 0.0000 0.0000 0.2142
Ag 0.5000 0.5000 0.0000
Dy 0.5000 0.5000 0.5000
CELL_PARAMETERS angstrom
-2.9754 1.3103 -1.3467
-1.4891 -3.1826 0.1933
-2.8602 1.8303 8.1003
! Symmetry: P4/mmm
! Formation energy from the elements in eV/atom: -0.14
! E in eV per atom: -4.237

! DyTm2Ag | Alexandria via LeMat-Bulk | PBE | optimized geometry; values from VASP
&SYSTEM
  ibrav = 0, nat = 4, ntyp = 3
/
ATOMIC_SPECIES
Tm 168.93 Tm.upf
Ag 107.87 Ag.upf
Dy 162.50 Dy.upf
ATOMIC_POSITIONS crystal
Tm 0.0000 0.0000 0.5000
Tm 0.0000 0.5000 0.0000
Ag 0.5000 0.0000 0.0000
Dy 0.5000 0.5000 0.5000
CELL_PARAMETERS angstrom
4.7558 0.0000 0.0000
0.0000 4.7257 0.0000
0.0000 0.0000 4.7257
! Symmetry: P4/mmm
! Formation energy from the elements in eV/atom: 0.01
! E in eV per atom: -4.086

! DyTm5Ag6 | Alexandria via LeMat-Bulk | PBE | optimized geometry; values from VASP
&SYSTEM
  ibrav = 0, nat = 12, ntyp = 3
/
ATOMIC_SPECIES
Tm 168.93 Tm.upf
Ag 107.87 Ag.upf
Dy 162.50 Dy.upf
ATOMIC_POSITIONS crystal
Tm 0.6661 0.5000 0.6678
Tm 0.3329 0.0000 0.3343
Tm 0.0000 0.5000 0.0000
Tm 0.6671 0.0000 0.6657
Tm 0.3339 0.5000 0.3322
Ag 0.8321 0.7479 0.3359
Ag 0.8320 0.2521 0.3359
Ag 0.5000 0.2525 0.0000
Ag 0.5000 0.7475 0.0000
Ag 0.1680 0.7479 0.6641
Ag 0.1679 0.2521 0.6641
Dy 0.0000 0.0000 0.0000
CELL_PARAMETERS angstrom
-2.8958 -3.8045 1.8175
4.3020 -0.5792 5.6419
-5.7427 3.1803 4.7053
! Symmetry: Cmmm
! Formation energy from the elements in eV/atom: -0.34
! E in eV per atom: -4.011